Entry 1:
# Ca2TlCo | the Alexandria database | PBE | relaxed
data_Ca2TlCo
_chemical_formula_sum 'Ca2 Tl1 Co1'
_symmetry_space_group_name_H-M 'P m m m'
_symmetry_Int_Tables_number 47
_symmetry_space_group_name_Hall '-P 2 2'
_cell_length_a 3.542
_cell_length_b 3.577
_cell_length_c 7.793
_cell_angle_alpha 90.00
_cell_angle_beta 90.00
_cell_angle_gamma 90.00
loop_
_atom_site_label
_atom_site_fract_x
_atom_site_fract_y
_atom_site_fract_z
_atom_site_occupancy
Ca1 0.000 0.000 0.213 1
Tl1 0.500 0.500 0.500 1
Co1 0.500 0.500 0.000 1
# - magnetization (Bohr magnetons per cell) = 0.7
# - energy of formation from the pure elements (eV/atom) = 0.04

***

Entry 2:
# V6Co12Pt | the Alexandria database | PBE | relaxed
data_V6Co12Pt
_chemical_formula_sum 'V18 Co36 Pt3'
_symmetry_space_group_name_H-M 'R -3 m'
_symmetry_Int_Tables_number 166
_symmetry_space_group_name_Hall '-R 3 2"'
_cell_length_a 10.8318
_cell_length_b 10.8318
_cell_length_c 7.0557
_cell_angle_alpha 90.00
_cell_angle_beta 90.00
_cell_angle_gamma 120.00
loop_
_atom_site_label
_atom_site_fract_x
_atom_site_fract_y
_atom_site_fract_z
_atom_site_occupancy
V1 0.0265 0.5133 0.2097 1
Co1 0.0000 0.3893 0.5000 1
Co2 0.0726 0.1453 0.3178 1
Pt1 0.0000 0.0000 0.0000 1
# - magnetization (Bohr magnetons per cell) = 0.2
# - energy of formation from the pure elements (eV/atom) = 0.23

***

Entry 3:
# ZrTlHg2 | the Alexandria database | PBE | relaxed
data_ZrTlHg2
_chemical_formula_sum 'Zr4 Tl4 Hg8'
_symmetry_space_group_name_H-M 'I -4 2 d'
_symmetry_Int_Tables_number 122
_symmetry_space_group_name_Hall 'I -4 2bw'
_cell_length_a 8.098
_cell_length_b 8.098
_cell_length_c 6.180
_cell_angle_alpha 90.00
_cell_angle_beta 90.00
_cell_angle_gamma 90.00
loop_
_atom_site_label
_atom_site_fract_x
_atom_site_fract_y
_atom_site_fract_z
_atom_site_occupancy
Zr1 0.000 0.000 0.000 1
Tl1 0.000 0.000 0.500 1
Hg1 0.244 0.750 0.125 1
# - magnetization (Bohr magnetons per cell) = 0.0
# - energy of formation from the pure elements (eV/atom) = 0.16

***

Entry 4:
# Tl4Ag3SnCl12 | the Alexandria database | PBE | relaxed
data_Tl4Ag3SnCl12
_chemical_formula_sum 'Tl8 Ag6 Sn2 Cl24'
_symmetry_space_group_name_H-M 'I m -3 m'
_symmetry_Int_Tables_number 229
_symmetry_space_group_name_Hall '-I 4 2 3'
_cell_length_a 10.429
_cell_length_b 10.429
_cell_length_c 10.429
_cell_angle_alpha 90.00
_cell_angle_beta 90.00
_cell_angle_gamma 90.00
loop_
_atom_site_label
_atom_site_fract_x
_atom_site_fract_y
_atom_site_fract_z
_atom_site_occupancy
Tl1 0.250 0.250 0.250 1
Ag1 0.000 0.000 0.500 1
Sn1 0.000 0.000 0.000 1
Cl1 0.000 0.000 0.236 1
Cl2 0.000 0.250 0.500 1
# - E_form (uncorrected) (meV/atom) = -785
# - magnetization (Bohr magnetons per cell) = 0.0

***

Entry 5:
# KAsCl | the Alexandria database | PBE | relaxed
data_KAsCl
_chemical_formula_sum 'K1 As1 Cl1'
_symmetry_space_group_name_H-M 'P -6 m 2'
_symmetry_Int_Tables_number 187
_symmetry_space_group_name_Hall 'P -6 2'
_cell_length_a 5.1698
_cell_length_b 5.1698
_cell_length_c 3.4976
_cell_angle_alpha 90.00
_cell_angle_beta 90.00
_cell_angle_gamma 120.00
loop_
_atom_site_label
_atom_site_fract_x
_atom_site_fract_y
_atom_site_fract_z
_atom_site_occupancy
K1 0.0000 0.0000 0.0000 1
As1 0.6667 0.3333 0.5000 1
Cl1 0.3333 0.6667 0.5000 1
# - E_form (uncorrected) (meV/atom) = -246
# - magnetization (Bohr magnetons per cell) = 0.5
# - excess energy over the best structure of this formula in the dataset (eV/atom) = 0.142

***

Entry 6:
# Pm2PrAl2Ag2 | the Alexandria database | PBE | relaxed
data_Pm2PrAl2Ag2
_chemical_formula_sum 'Pm6 Pr3 Al6 Ag6'
_symmetry_space_group_name_H-M 'R -3 m'
_symmetry_Int_Tables_number 166
_symmetry_space_group_name_Hall '-R 3 2"'
_cell_length_a 4.7263
_cell_length_b 4.7263
_cell_length_c 27.5520
_cell_angle_alpha 90.00
_cell_angle_beta 90.00
_cell_angle_gamma 120.00
loop_
_atom_site_label
_atom_site_fract_x
_atom_site_fract_y
_atom_site_fract_z
_atom_site_occupancy
Pm1 0.0000 0.0000 0.1275 1
Pr1 0.0000 0.0000 0.0000 1
Al1 0.0000 0.0000 0.2602 1
Ag1 0.0000 0.0000 0.4012 1
# - magnetization (Bohr magnetons per cell) = 0.0
# - energy of formation from the pure elements (eV/atom) = -0.28

***

Entry 7:
# Ag3AuBr2F6 | the Alexandria database | PBE | relaxed
data_Ag3AuBr2F6
_chemical_formula_sum 'Ag6 Au2 Br4 F12'
_symmetry_space_group_name_H-M 'C 1 2/m 1'
_symmetry_Int_Tables_number 12
_symmetry_space_group_name_Hall '-C 2y'
_cell_length_a 13.991
_cell_length_b 7.014
_cell_length_c 4.976
_cell_angle_alpha 90.00
_cell_angle_beta 91.62
_cell_angle_gamma 90.00
loop_
_atom_site_label
_atom_site_fract_x
_atom_site_fract_y
_atom_site_fract_z
_atom_site_occupancy
Ag1 0.000 0.000 0.000 1
Ag2 0.250 0.250 0.500 1
Au1 0.000 0.500 0.500 1
Br1 0.168 0.000 0.804 1
F1 0.060 0.296 0.284 1
F2 0.196 0.500 0.682 1
# - E_form (uncorrected) (meV/atom) = -859
# - magnetization (Bohr magnetons per cell) = 0.0

***

Entry 8:
# HfIr2S | the Alexandria database | PBE | relaxed
data_HfIr2S
_chemical_formula_sum 'Hf4 Ir8 S4'
_symmetry_space_group_name_H-M 'I -4 2 d'
_symmetry_Int_Tables_number 122
_symmetry_space_group_name_Hall 'I -4 2bw'
_cell_length_a 5.242
_cell_length_b 5.242
_cell_length_c 12.371
_cell_angle_alpha 90.00
_cell_angle_beta 90.00
_cell_angle_gamma 90.00
loop_
_atom_site_label
_atom_site_fract_x
_atom_site_fract_y
_atom_site_fract_z
_atom_site_occupancy
Hf1 0.000 0.000 0.000 1
Ir1 0.179 0.250 0.625 1
S1 0.000 0.000 0.500 1
# - E_form (uncorrected) (meV/atom) = -163
# - magnetization (Bohr magnetons per cell) = 0.0

***

Entry 9:
# RbMn3Cd | the Alexandria database | PBE | relaxed
data_RbMn3Cd
_chemical_formula_sum 'Rb1 Mn3 Cd1'
_symmetry_space_group_name_H-M 'P m -3 m'
_symmetry_Int_Tables_number 221
_symmetry_space_group_name_Hall '-P 4 2 3'
_cell_length_a 5.073
_cell_length_b 5.073
_cell_length_c 5.073
_cell_angle_alpha 90.00
_cell_angle_beta 90.00
_cell_angle_gamma 90.00
loop_
_atom_site_label
_atom_site_fract_x
_atom_site_fract_y
_atom_site_fract_z
_atom_site_occupancy
Rb1 0.000 0.000 0.000 1
Mn1 0.000 0.000 0.500 1
Cd1 0.500 0.500 0.500 1
# - magnetization (Bohr magnetons per cell) = 11.8
# - energy of formation from the pure elements (eV/atom) = 2.18
# - excess energy over the best structure of this formula in the dataset (eV/atom) = 1.064

***

Entry 10:
# TlReAgO4 | the Alexandria database | PBE | relaxed
data_TlReAgO4
_chemical_formula_sum 'Tl2 Re2 Ag2 O8'
_symmetry_space_group_name_H-M 'P 1 21/m 1'
_symmetry_Int_Tables_number 11
_symmetry_space_group_name_Hall '-P 2yb'
_cell_length_a 6.221
_cell_length_b 5.716
_cell_length_c 8.284
_cell_angle_alpha 90.00
_cell_angle_beta 90.61
_cell_angle_gamma 90.00
loop_
_atom_site_label
_atom_site_fract_x
_atom_site_fract_y
_atom_site_fract_z
_atom_site_occupancy
Tl1 0.019 0.250 0.340 1
Re1 0.461 0.250 0.746 1
Ag1 0.029 0.750 0.022 1
O1 0.255 0.750 0.276 1
O2 0.346 0.002 0.656 1
O3 0.396 0.250 0.951 1
# - E_form (uncorrected) (meV/atom) = -1087
# - magnetization (Bohr magnetons per cell) = 0.0

***

Entry 11:
# ScFe3Pd | the Alexandria database | PBE | relaxed
data_ScFe3Pd
_chemical_formula_sum 'Sc1 Fe3 Pd1'
_symmetry_space_group_name_H-M 'P m -3 m'
_symmetry_Int_Tables_number 221
_symmetry_space_group_name_Hall '-P 4 2 3'
_cell_length_a 4.367
_cell_length_b 4.367
_cell_length_c 4.367
_cell_angle_alpha 90.00
_cell_angle_beta 90.00
_cell_angle_gamma 90.00
loop_
_atom_site_label
_atom_site_fract_x
_atom_site_fract_y
_atom_site_fract_z
_atom_site_occupancy
Sc1 0.000 0.000 0.000 1
Fe1 0.000 0.000 0.500 1
Pd1 0.500 0.500 0.500 1
# - magnetization (Bohr magnetons per cell) = 6.8
# - energy of formation from the pure elements (eV/atom) = 1.33
# - excess energy over the best structure of this formula in the dataset (eV/atom) = 0.447